Here is a relaxed CaRu2Se crystal from Alexandria via LeMat-Bulk. Energies are from PBE-GGA.

a = 3.0901 Å, b = 3.0901 Å, c = 7.4901 Å
α = 90.00°, β = 90.00°, γ = 90.00°
Last column: nearest neighbours and their distance in Å.
Element x y z (fractional)
Ca 0.0000 0.0000 0.0000  4 Ru 3.08, 4 Ca 3.09, 4 Se 3.11
Ru 0.0000 0.0000 0.4866  4 Ru 2.64, 4 Se 2.73
Ru 0.5000 0.5000 0.2891  4 Ru 2.64
Se 0.5000 0.5000 0.7051  4 Ru 2.73

Uncorrected energy: -5.9874 eV per atom
N(E_F): 3.9 states/eV per cell
ΔE_f (raw): 0.02 eV per atom